# 1
# Dy2TmSc7 PBE relaxed
data_Dy2TmSc7
_chemical_formula_sum 'Dy4 Tm2 Sc14'
_cell_length_a 17.370
_cell_length_b 3.345
_cell_length_c 9.413
_cell_angle_alpha 90.00
_cell_angle_beta 105.86
_cell_angle_gamma 90.00
_space_group_name_H-M_alt 'C 1 2/m 1'
_space_group_IT_number 12
_space_group_name_Hall '-C 2y'
loop_
_atom_site_label
_atom_site_fract_x
_atom_site_fract_y
_atom_site_fract_z
Dy1 0.199 0.000 0.105
Tm1 0.000 0.000 0.000
Sc1 0.000 0.000 0.500
Sc2 0.099 0.500 0.309
Sc3 0.099 0.500 0.791
Sc4 0.198 0.000 0.594
# * uncorrected energy: -5.744 eV/atom
# * crystal system: monoclinic
# * DFT formation energy: 0.055 eV/atom
# * calculated density: 5104 kg/m³

=====

# 2
# Dy2TmSc5 PBE relaxed
data_Dy2TmSc5
_chemical_formula_sum 'Dy8 Tm4 Sc20'
_cell_length_a 6.841
_cell_length_b 10.648
_cell_length_c 11.849
_cell_angle_alpha 90.00
_cell_angle_beta 90.00
_cell_angle_gamma 90.00
_space_group_name_H-M_alt 'F m m 2'
_space_group_IT_number 42
_space_group_name_Hall 'F 2 -2'
loop_
_atom_site_label
_atom_site_fract_x
_atom_site_fract_y
_atom_site_fract_z
Dy1 0.000 0.246 0.000
Tm1 0.000 0.000 0.330
Sc1 0.000 0.000 0.829
Sc2 0.248 0.000 0.584
Sc3 0.250 0.250 0.247
# * uncorrected energy: -5.644 eV/atom
# * crystal system: orthorhombic
# * DFT formation energy: 0.023 eV/atom
# * calculated density: 5531 kg/m³

=====

# 3
# DyTm3Sc6 PBE relaxed
data_DyTm3Sc6
_chemical_formula_sum 'Dy4 Tm12 Sc24'
_cell_length_a 10.431
_cell_length_b 17.867
_cell_length_c 5.816
_cell_angle_alpha 90.00
_cell_angle_beta 90.00
_cell_angle_gamma 90.00
_space_group_name_H-M_alt 'C m c 21'
_space_group_IT_number 36
_space_group_name_Hall 'C 2c -2'
loop_
_atom_site_label
_atom_site_fract_x
_atom_site_fract_y
_atom_site_fract_z
Dy1 0.000 0.210 0.000
Tm1 0.000 0.394 0.096
Tm2 0.174 0.105 0.692
Sc1 0.000 0.048 0.231
Sc2 0.000 0.286 0.519
Sc3 0.166 0.449 0.638
Sc4 0.246 0.214 0.296
# * uncorrected energy: -5.446 eV/atom
# * crystal system: orthorhombic
# * DFT formation energy: 0.155 eV/atom
# * calculated density: 5754 kg/m³

=====

# 4
# DyTm2Sc5 PBE relaxed
data_DyTm2Sc5
_chemical_formula_sum 'Dy2 Tm4 Sc10'
_cell_length_a 6.738
_cell_length_b 6.738
_cell_length_c 9.378
_cell_angle_alpha 90.00
_cell_angle_beta 90.00
_cell_angle_gamma 90.00
_space_group_name_H-M_alt 'I 4 m m'
_space_group_IT_number 107
_space_group_name_Hall 'I 4 -2'
loop_
_atom_site_label
_atom_site_fract_x
_atom_site_fract_y
_atom_site_fract_z
Dy1 0.000 0.000 0.000
Tm1 0.000 0.500 0.000
Sc1 0.000 0.000 0.501
Sc2 0.250 0.250 0.250
# * uncorrected energy: -5.592 eV/atom
# * crystal system: tetragonal
# * DFT formation energy: 0.058 eV/atom
# * calculated density: 5656 kg/m³

=====

# 5
# Dy2Tm8Sc PBE relaxed
data_Dy2Tm8Sc
_chemical_formula_sum 'Dy4 Tm16 Sc2'
_cell_length_a 17.064
_cell_length_b 5.354
_cell_length_c 8.235
_cell_angle_alpha 90.00
_cell_angle_beta 117.85
_cell_angle_gamma 90.00
_space_group_name_H-M_alt 'C 1 2/m 1'
_space_group_IT_number 12
_space_group_name_Hall '-C 2y'
loop_
_atom_site_label
_atom_site_fract_x
_atom_site_fract_y
_atom_site_fract_z
Dy1 0.203 0.000 0.160
Tm1 0.015 0.000 0.222
Tm2 0.116 0.500 0.932
Tm3 0.156 0.000 0.690
Tm4 0.160 0.500 0.387
Sc1 0.000 0.500 0.500
# * uncorrected energy: -4.552 eV/atom
# * crystal system: monoclinic
# * DFT formation energy: 0.112 eV/atom
# * calculated density: 8594 kg/m³

=====

# 6
# Dy3Tm2Sc8 PBE relaxed
data_Dy3Tm2Sc8
_chemical_formula_sum 'Dy6 Tm4 Sc16'
_cell_length_a 19.546
_cell_length_b 7.181
_cell_length_c 5.236
_cell_angle_alpha 90.00
_cell_angle_beta 90.07
_cell_angle_gamma 90.00
_space_group_name_H-M_alt 'C 1 2/m 1'
_space_group_IT_number 12
_space_group_name_Hall '-C 2y'
loop_
_atom_site_label
_atom_site_fract_x
_atom_site_fract_y
_atom_site_fract_z
Dy1 0.000 0.000 0.000
Dy2 0.000 0.287 0.500
Tm1 0.240 0.000 0.998
Sc1 0.110 0.293 0.001
Sc2 0.132 0.000 0.499
Sc3 0.166 0.500 0.502
# * uncorrected energy: -5.356 eV/atom
# * crystal system: monoclinic
# * DFT formation energy: 0.290 eV/atom
# * calculated density: 5354 kg/m³

=====

# 7
# Dy8Tm6Sc PBE relaxed
data_Dy8Tm6Sc
_chemical_formula_sum 'Dy8 Tm6 Sc1'
_cell_length_a 9.7153
_cell_length_b 9.7153
_cell_length_c 5.6882
_cell_angle_alpha 90.00
_cell_angle_beta 90.00
_cell_angle_gamma 120.00
_space_group_name_H-M_alt 'P -3'
_space_group_IT_number 147
_space_group_name_Hall '-P 3'
loop_
_atom_site_label
_atom_site_fract_x
_atom_site_fract_y
_atom_site_fract_z
Dy1 0.0513 0.7796 0.2342
Dy2 0.3333 0.6667 0.2361
Tm1 0.0920 0.6205 0.7427
Sc1 0.0000 0.0000 0.5000
# * uncorrected energy: -4.515 eV/atom
# * crystal system: trigonal
# * DFT formation energy: 0.150 eV/atom
# * calculated density: 8423 kg/m³

=====

# 8
# DyTm3Sc4 PBE relaxed
data_DyTm3Sc4
_chemical_formula_sum 'Dy1 Tm3 Sc4'
_cell_length_a 3.723
_cell_length_b 5.426
_cell_length_c 10.847
_cell_angle_alpha 90.00
_cell_angle_beta 90.00
_cell_angle_gamma 90.00
_space_group_name_H-M_alt 'P m m m'
_space_group_IT_number 47
_space_group_name_Hall '-P 2 2'
loop_
_atom_site_label
_atom_site_fract_x
_atom_site_fract_y
_atom_site_fract_z
Dy1 0.000 0.000 0.000
Tm1 0.000 0.000 0.500
Tm2 0.000 0.500 0.251
Sc1 0.500 0.000 0.252
Sc2 0.500 0.500 0.000
Sc3 0.500 0.500 0.500
# * uncorrected energy: -5.320 eV/atom
# * crystal system: orthorhombic
# * DFT formation energy: 0.098 eV/atom
# * calculated density: 6435 kg/m³

=====

# 9
# Dy6TmSc PBE relaxed
data_Dy6TmSc
_chemical_formula_sum 'Dy6 Tm1 Sc1'
_cell_length_a 4.956
_cell_length_b 4.956
_cell_length_c 9.880
_cell_angle_alpha 90.00
_cell_angle_beta 90.00
_cell_angle_gamma 90.00
_space_group_name_H-M_alt 'P 4/m m m'
_space_group_IT_number 123
_space_group_name_Hall '-P 4 2'
loop_
_atom_site_label
_atom_site_fract_x
_atom_site_fract_y
_atom_site_fract_z
Dy1 0.000 0.000 0.000
Dy2 0.000 0.000 0.500
Dy3 0.000 0.500 0.246
Tm1 0.500 0.500 0.500
Sc1 0.500 0.500 0.000
# * uncorrected energy: -4.770 eV/atom
# * crystal system: tetragonal
# * DFT formation energy: 0.032 eV/atom
# * calculated density: 8136 kg/m³

=====

# 10
# Dy4Tm5Sc PBE relaxed
data_Dy4Tm5Sc
_chemical_formula_sum 'Dy8 Tm10 Sc2'
_cell_length_a 18.956
_cell_length_b 3.519
_cell_length_c 9.395
_cell_angle_alpha 90.00
_cell_angle_beta 100.10
_cell_angle_gamma 90.00
_space_group_name_H-M_alt 'C 1 2/m 1'
_space_group_IT_number 12
_space_group_name_Hall '-C 2y'
loop_
_atom_site_label
_atom_site_fract_x
_atom_site_fract_y
_atom_site_fract_z
Dy1 0.068 0.000 0.279
Dy2 0.179 0.500 0.516
Tm1 0.000 0.500 0.000
Tm2 0.113 0.000 0.787
Tm3 0.217 0.000 0.142
Sc1 0.000 0.500 0.500
# * uncorrected energy: -4.546 eV/atom
# * crystal system: monoclinic
# * DFT formation energy: 0.164 eV/atom
# * calculated density: 8287 kg/m³

=====

# 11
# DyTm4Sc6 PBE relaxed
data_DyTm4Sc6
_chemical_formula_sum 'Dy2 Tm8 Sc12'
_cell_length_a 6.257
_cell_length_b 6.257
_cell_length_c 15.890
_cell_angle_alpha 90.00
_cell_angle_beta 90.00
_cell_angle_gamma 90.00
_space_group_name_H-M_alt 'I -4 2 m'
_space_group_IT_number 121
_space_group_name_Hall 'I -4 2'
loop_
_atom_site_label
_atom_site_fract_x
_atom_site_fract_y
_atom_site_fract_z
Dy1 0.000 0.000 0.000
Tm1 0.190 0.190 0.179
Sc1 0.000 0.500 0.000
Sc2 0.174 0.174 0.381
# * uncorrected energy: -5.198 eV/atom
# * crystal system: tetragonal
# * DFT formation energy: 0.300 eV/atom
# * calculated density: 5915 kg/m³

=====

# 12
# Dy2TmSc PBE relaxed
data_Dy2TmSc
_chemical_formula_sum 'Dy6 Tm3 Sc3'
_cell_length_a 3.4701
_cell_length_b 3.4701
_cell_length_c 33.6092
_cell_angle_alpha 90.00
_cell_angle_beta 90.00
_cell_angle_gamma 120.00
_space_group_name_H-M_alt 'R -3 m'
_space_group_IT_number 166
_space_group_name_Hall '-R 3 2"'
loop_
_atom_site_label
_atom_site_fract_x
_atom_site_fract_y
_atom_site_fract_z
Dy1 0.0000 0.0000 0.2475
Tm1 0.0000 0.0000 0.0000
Sc1 0.0000 0.0000 0.5000
# * uncorrected energy: -4.958 eV/atom
# * crystal system: trigonal
# * DFT formation energy: 0.044 eV/atom
# * calculated density: 7659 kg/m³